No. 1
Below is a PBEsol-optimized structure of Sc3GeI, with properties calculated at the SCAN level.

Calculated values
Space-group type: Pm-3m
M_tot, Bohr magnetons per cell: 0.00
Uncorrected energy, eV per atom: -19.23

Cell lengths 5.1592, 5.1592, 5.1592 Å; angles 90.00, 90.00, 90.00 degrees
Last column: nearest neighbours and their distance in Å.
Fractional positions:
Sc 0.0000 0.0000 0.5000  2 I 2.58
Sc 0.0000 0.5000 0.0000  2 I 2.58
Sc 0.5000 0.0000 0.0000  2 I 2.58
Ge 0.5000 0.5000 0.5000  12 Sc 3.65
I 0.0000 0.0000 0.0000  6 Sc 2.58

=====

No. 2
Below is a PBEsol-optimized structure of ScGeI3, with properties calculated at the SCAN level.

Calculated values
Excess energy over the best structure of this formula in the dataset, eV/atom: 0.336
Space-group type: Pm-3m
M_tot, Bohr magnetons per cell: 1.76

Cell lengths 5.6324, 5.6324, 5.6324 Å; angles 90.00, 90.00, 90.00 degrees
Last column: nearest neighbours and their distance in Å.
Fractional positions:
Sc 0.0000 0.0000 0.0000  12 I 3.98
Ge 0.5000 0.5000 0.5000  6 I 2.82
I 0.0000 0.5000 0.5000  2 Ge 2.82
I 0.5000 0.0000 0.5000  2 Ge 2.82
I 0.5000 0.5000 0.0000  2 Ge 2.82

=====

No. 3
Below is a PBEsol-optimized structure of ScGe2I2, with properties calculated at the SCAN level.

Calculated values
Space-group type: I4/mmm
M_tot, Bohr magnetons per cell: 0.00
Uncorrected energy, eV per atom: -25.44

Cell lengths 11.5102, 11.5102, 11.5102 Å; angles 162.05, 162.05, 25.49 degrees
Last column: nearest neighbours and their distance in Å.
Fractional positions:
Sc 0.0000 0.0000 0.0000  8 I 3.09
Ge 0.2500 0.7500 0.5000  4 Ge 2.54
Ge 0.7500 0.2500 0.5000  4 Ge 2.54
I 0.4215 0.4215 0.0000  4 Sc 3.09
I 0.5785 0.5785 0.0000  4 Sc 3.09

=====

No. 4
Below is a PBEsol-optimized structure of ScGeI3, with properties calculated at the SCAN level.

Calculated values
Excess energy over the best structure of this formula in the dataset, eV/atom: 0.000
Space-group type: Pm-3m
M_tot, Bohr magnetons per cell: 2.01

Cell lengths 5.6181, 5.6181, 5.6181 Å; angles 90.00, 90.00, 90.00 degrees
Last column: nearest neighbours and their distance in Å.
Fractional positions:
Sc 0.0000 0.0000 0.0000  6 I 2.81
Ge 0.5000 0.5000 0.5000  12 I 3.97
I 0.0000 0.0000 0.5000  2 Sc 2.81
I 0.0000 0.5000 0.0000  2 Sc 2.81
I 0.5000 0.0000 0.0000  2 Sc 2.81

=====

No. 5
Below is a PBEsol-optimized structure of Si2GeI, with properties calculated at the SCAN level.

Calculated values
Space-group type: Fm-3m
M_tot, Bohr magnetons per cell: 0.00
Uncorrected energy, eV per atom: -17.92

Cell lengths 4.8380, 4.8380, 4.8380 Å; angles 60.00, 60.00, 60.00 degrees
Last column: nearest neighbours and their distance in Å.
Fractional positions:
Si 0.2500 0.2500 0.2500  4 Ge 2.96, 4 I 2.96
Si 0.7500 0.7500 0.7500  4 I 2.96, 4 Ge 2.96
Ge 0.0000 0.0000 0.0000  8 Si 2.96
I 0.5000 0.5000 0.5000  8 Si 2.96

=====

No. 6
Below is a PBEsol-optimized structure of ZnSiGe2I, with properties calculated at the SCAN level.

Calculated values
Space-group type: P4/mmm
M_tot, Bohr magnetons per cell: 0.00
Uncorrected energy, eV per atom: -18.13

Cell lengths 5.3731, 5.3731, 5.0649 Å; angles 90.00, 90.00, 90.00 degrees
Last column: nearest neighbours and their distance in Å.
Fractional positions:
Zn 0.0000 0.0000 0.0000  2 I 2.53
Si 0.5000 0.5000 0.0000  8 Ge 3.69, 4 Zn 3.80
Ge 0.0000 0.5000 0.5000  2 I 2.69
Ge 0.5000 0.0000 0.5000  2 I 2.69
I 0.0000 0.0000 0.5000  2 Zn 2.53, 4 Ge 2.69

=====

No. 7
Below is a PBEsol-optimized structure of Sn2Ge2I, with properties calculated at the SCAN level.

Calculated values
Space-group type: I4/mmm
M_tot, Bohr magnetons per cell: 0.00
Uncorrected energy, eV per atom: -29.14

Cell lengths 7.3536, 7.3536, 7.3536 Å; angles 144.95, 144.95, 50.41 degrees
Last column: nearest neighbours and their distance in Å.
Fractional positions:
Sn 0.2500 0.7500 0.5000  4 Ge 2.93, 4 Sn 3.13
Sn 0.7500 0.2500 0.5000  4 Ge 2.93, 4 Sn 3.13
Ge 0.1060 0.1060 0.0000  1 Ge 2.82, 4 Sn 2.93
Ge 0.8940 0.8940 0.0000  1 Ge 2.82, 4 Sn 2.93
I 0.5000 0.5000 0.0000  8 Ge 3.43

=====

No. 8
Below is a PBEsol-optimized structure of SnGeI3, with properties calculated at the SCAN level.

Calculated values
Space-group type: Pm-3m
M_tot, Bohr magnetons per cell: 1.13
Uncorrected energy, eV per atom: -32.69

Cell lengths 5.9222, 5.9222, 5.9222 Å; angles 90.00, 90.00, 90.00 degrees
Last column: nearest neighbours and their distance in Å.
Fractional positions:
Sn 0.0000 0.0000 0.0000  6 I 2.96
Ge 0.5000 0.5000 0.5000  12 I 4.19
I 0.0000 0.0000 0.5000  2 Sn 2.96
I 0.0000 0.5000 0.0000  2 Sn 2.96
I 0.5000 0.0000 0.0000  2 Sn 2.96

=====

No. 9
Below is a PBEsol-optimized structure of SnGe3I, with properties calculated at the SCAN level.

Calculated values
Space-group type: Pm-3m
M_tot, Bohr magnetons per cell: 0.00
Uncorrected energy, eV per atom: -24.74

Cell lengths 5.3541, 5.3541, 5.3541 Å; angles 90.00, 90.00, 90.00 degrees
Last column: nearest neighbours and their distance in Å.
Fractional positions:
Sn 0.0000 0.0000 0.0000  12 Ge 3.79
Ge 0.0000 0.5000 0.5000  2 I 2.68
Ge 0.5000 0.0000 0.5000  2 I 2.68
Ge 0.5000 0.5000 0.0000  2 I 2.68
I 0.5000 0.5000 0.5000  6 Ge 2.68

=====

No. 10
Below is a PBEsol-optimized structure of Ta3GeI, with properties calculated at the SCAN level.

Calculated values
Space-group type: Pm-3m
M_tot, Bohr magnetons per cell: 0.00
Uncorrected energy, eV per atom: -48.77

Cell lengths 4.9325, 4.9325, 4.9325 Å; angles 90.00, 90.00, 90.00 degrees
Last column: nearest neighbours and their distance in Å.
Fractional positions:
Ta 0.0000 0.0000 0.5000  2 I 2.47
Ta 0.0000 0.5000 0.0000  2 I 2.47
Ta 0.5000 0.0000 0.0000  2 I 2.47
Ge 0.5000 0.5000 0.5000  12 Ta 3.49
I 0.0000 0.0000 0.0000  6 Ta 2.47

=====

No. 11
Below is a PBEsol-optimized structure of TcGe3I, with properties calculated at the SCAN level.

Calculated values
Space-group type: Pm-3m
M_tot, Bohr magnetons per cell: 3.71
Uncorrected energy, eV per atom: -23.84

Cell lengths 5.2460, 5.2460, 5.2460 Å; angles 90.00, 90.00, 90.00 degrees
Last column: nearest neighbours and their distance in Å.
Fractional positions:
Tc 0.0000 0.0000 0.0000  12 Ge 3.71
Ge 0.0000 0.5000 0.5000  2 I 2.62
Ge 0.5000 0.0000 0.5000  2 I 2.62
Ge 0.5000 0.5000 0.0000  2 I 2.62
I 0.5000 0.5000 0.5000  6 Ge 2.62

=====

No. 12
Below is a PBEsol-optimized structure of Ge3TeI, with properties calculated at the SCAN level.

Calculated values
Space-group type: Pm-3m
M_tot, Bohr magnetons per cell: 0.00
Uncorrected energy, eV per atom: -24.99

Cell lengths 5.3724, 5.3724, 5.3724 Å; angles 90.00, 90.00, 90.00 degrees
Last column: nearest neighbours and their distance in Å.
Fractional positions:
Ge 0.0000 0.0000 0.5000  2 I 2.69
Ge 0.0000 0.5000 0.0000  2 I 2.69
Ge 0.5000 0.0000 0.0000  2 I 2.69
Te 0.5000 0.5000 0.5000  12 Ge 3.80
I 0.0000 0.0000 0.0000  6 Ge 2.69